Record 1
The following is a PBEsol calculation of crystalline LiFeAg2 at its relaxed geometry, from Alexandria via LeMat-Bulk.

Computed properties:
**ΔE_f**: 0.1613 eV per atom
**Size of the total moment**: 0.67 μB/atom
**Calculated volume**: 116.3 Å³/cell
**Space group**: Cmmm (65)

Lattice parameters (Å, degrees): 5.960 7.171 2.722 90.00 90.00 90.00
Fractional coordinates of all 8 atoms:
Li (0.000, 0.000, 0.000)
Li (0.500, 0.500, 0.000)
Fe (0.000, 0.500, 0.000)
Fe (0.500, 0.000, 0.000)
Ag (0.250, 0.250, 0.500)
Ag (0.250, 0.750, 0.500)
Ag (0.750, 0.250, 0.500)
Ag (0.750, 0.750, 0.500)

Record 2
The following is a PBEsol calculation of crystalline LiZrFe2Ag at its relaxed geometry, from Alexandria via LeMat-Bulk.

Computed properties:
**ΔE_f**: 1.3741 eV per atom
**Size of the total moment**: 0.60 μB/atom
**Calculated volume**: 94.5 Å³/cell
**Space group**: P4/mmm (123)

Lattice parameters (Å, degrees): 4.414 4.414 4.852 90.00 90.00 90.00
Fractional coordinates of all 5 atoms:
Li (0.000, 0.000, 0.000)
Zr (0.000, 0.000, 0.500)
Fe (0.000, 0.500, 0.500)
Fe (0.500, 0.000, 0.500)
Ag (0.500, 0.500, 0.000)